1.
! PBE SbAsPBr2, optimized geometry; values from VASP
&SYSTEM
  ibrav = 0, nat = 5, ntyp = 4
/
ATOMIC_SPECIES
As 74.92 As.upf
P 30.97 P.upf
Br 79.90 Br.upf
Sb 121.76 Sb.upf
ATOMIC_POSITIONS crystal
As 0.000 0.000 0.500
P 0.000 0.000 0.000
Br 0.000 0.500 0.000
Br 0.500 0.000 0.000
Sb 0.500 0.500 0.500
CELL_PARAMETERS angstrom
-1.933 0.349 4.519
-4.527 0.092 -1.944
-0.235 -5.211 0.302
! Space-group type: No. 123
! DFT total energy: -3.063 eV/atom
! Crystal system: tetragonal
! Calculated volume: 127 Å³/cell


2.
! PBE ScTiZn3, optimized geometry; values from VASP
&SYSTEM
  ibrav = 0, nat = 10, ntyp = 3
/
ATOMIC_SPECIES
Zn 65.41 Zn.upf
Sc 44.96 Sc.upf
Ti 47.87 Ti.upf
ATOMIC_POSITIONS crystal
Zn 0.250 0.407 0.204
Zn 0.250 0.796 0.204
Zn 0.750 0.204 0.796
Zn 0.750 0.204 0.407
Zn 0.750 0.593 0.796
Zn 0.250 0.796 0.593
Sc 0.250 0.333 0.667
Sc 0.750 0.667 0.333
Ti 0.000 0.000 0.000
Ti 0.500 0.000 0.000
CELL_PARAMETERS angstrom
-5.212 0.375 0.408
-0.578 -6.078 -1.799
0.587 1.452 6.169
! Space-group type: No. 194
! E_form: -0.02 eV/atom
! Crystal system: hexagonal
! Calculated volume: 184 Å³/cell


3.
! PBE KCd2Co, optimized geometry; values from VASP
&SYSTEM
  ibrav = 0, nat = 4, ntyp = 3
/
ATOMIC_SPECIES
K 39.10 K.upf
Co 58.93 Co.upf
Cd 112.41 Cd.upf
ATOMIC_POSITIONS crystal
K 0.175 0.175 0.268
Co 0.520 0.520 0.660
Cd 0.798 0.798 0.634
Cd 0.007 0.007 0.939
CELL_PARAMETERS angstrom
-2.407 -4.019 1.890
-2.881 -4.019 -1.036
4.609 -6.421 -0.746
! Space-group type: No. 8
! E_form: 0.40 eV/atom
! Crystal system: monoclinic
! Calculated volume: 107 Å³/cell


4.
! PBE MnBe2Te, optimized geometry; values from VASP
&SYSTEM
  ibrav = 0, nat = 4, ntyp = 3
/
ATOMIC_SPECIES
Be 9.01 Be.upf
Mn 54.94 Mn.upf
Te 127.60 Te.upf
ATOMIC_POSITIONS crystal
Be 0.000 0.000 0.000
Be 0.500 0.000 0.500
Mn 0.000 0.500 0.500
Te 0.500 0.500 0.000
CELL_PARAMETERS angstrom
-3.541 -2.369 -0.002
2.565 0.264 -4.444
2.015 -2.488 -0.287
! Space-group type: No. 12
! DFT total energy: -4.350 eV/atom
! Crystal system: monoclinic
! Calculated volume: 59 Å³/cell


5.
! PBE BaAlRh2, optimized geometry; values from VASP
&SYSTEM
  ibrav = 0, nat = 4, ntyp = 3
/
ATOMIC_SPECIES
Rh 102.91 Rh.upf
Ba 137.33 Ba.upf
Al 26.98 Al.upf
ATOMIC_POSITIONS crystal
Rh 0.500 0.500 0.286
Rh 0.000 0.000 0.051
Ba 0.500 0.500 0.773
Al 0.000 0.000 0.389
CELL_PARAMETERS angstrom
-0.671 -0.436 -3.292
1.434 -3.068 0.114
-6.467 -2.959 1.711
! Space-group type: No. 99
! E_form: -0.05 eV/atom
! Crystal system: tetragonal
! Calculated volume: 84 Å³/cell


6.
! PBE Y2ReN4, optimized geometry; values from VASP
&SYSTEM
  ibrav = 0, nat = 14, ntyp = 3
/
ATOMIC_SPECIES
N 14.01 N.upf
Y 88.91 Y.upf
Re 186.21 Re.upf
ATOMIC_POSITIONS crystal
N 0.780 0.260 0.480
N 0.760 0.280 0.980
N 0.760 0.739 0.980
N 0.240 0.720 0.020
N 0.240 0.261 0.020
N 0.761 0.740 0.520
N 0.220 0.740 0.520
N 0.239 0.260 0.480
Y 0.500 0.500 0.500
Y 0.500 0.000 0.000
Y 0.500 0.000 0.500
Y 0.000 0.000 0.000
Re 0.125 0.375 0.250
Re 0.875 0.625 0.750
CELL_PARAMETERS angstrom
5.726 -0.037 3.275
-1.836 5.424 3.275
0.030 0.041 6.595
! Space-group type: No. 227
! DFT total energy: -9.206 eV/atom
! Crystal system: cubic
! Calculated volume: 203 Å³/cell